No. 1
The following is a PBE calculation of CsNa4Ga after structural relaxation, from the Alexandria database.

Results
Space group   F-43m
Spin magnetization   0.7 Bohr magnetons per cell
Formation enthalpy at 0 K   14.88 kJ per mole of atoms

Lattice parameters (Å, degrees): 6.8847 6.8847 6.8847 60.00 60.00 60.00
Last column: magnetic moment on the atom in μB.
Element x y z (fractional)
1 Ga 0.0000 0.0000 0.0000  0.11
2 Na 0.6280 0.6280 0.1161  0.00
3 Na 0.6280 0.1161 0.6280  0.00
4 Na 0.6280 0.6280 0.6280  0.00
5 Na 0.1161 0.6280 0.6280  0.00
6 Cs 0.2500 0.2500 0.2500  0.01

***

No. 2
The following is a PBE calculation of Th7Fe2Sn2 after structural relaxation, from the Alexandria database.

Results
Space group   Cmmm
Spin magnetization   0.0 Bohr magnetons per cell
Formation enthalpy at 0 K   -10.67 kJ per mole of atoms

Lattice parameters (Å, degrees): 7.0236 6.8777 7.0236 89.99 109.83 90.01
Element x y z (fractional)
1 Th 0.0000 0.0000 0.0000
2 Th 0.9998 0.2492 0.5003
3 Th 0.0002 0.7508 0.4997
4 Th 0.5002 0.7701 0.4998
5 Th 0.4998 0.2299 0.5002
6 Th 0.4997 0.2492 0.0002
7 Th 0.5003 0.7508 0.9998
8 Sn 0.1750 0.5000 0.1750
9 Sn 0.8250 0.5000 0.8250
10 Fe 0.7304 0.0000 0.2696
11 Fe 0.2696 0.0000 0.7304

***

No. 3
The following is a PBE calculation of Al4W3 after structural relaxation, from the Alexandria database.

Results
Space group   I4/mmm
Spin magnetization   0.0 Bohr magnetons per cell
Formation enthalpy at 0 K   -4.99 kJ per mole of atoms

Lattice parameters (Å, degrees): 10.5451 10.5451 10.5451 162.26 162.26 25.19
Element x y z (fractional)
1 Al 0.8571 0.8571 0.0000
2 Al 0.5689 0.5689 0.0000
3 Al 0.1429 0.1429 0.0000
4 Al 0.4311 0.4311 0.0000
5 W 0.7163 0.7163 0.0000
6 W 0.0000 0.0000 0.0000
7 W 0.2837 0.2837 0.0000

***

No. 4
The following is a PBE calculation of MnZn2BiSe after structural relaxation, from the Alexandria database.

Results
Space group   P4/mmm
Spin magnetization   3.2 Bohr magnetons per cell
Formation energy without anion corrections   449.6 meV per atom

Lattice parameters (Å, degrees): 4.8227 5.2011 4.8227 90.00 90.00 90.00
Last column: magnetic moment on the atom in μB.
Element x y z (fractional)
1 Bi 0.0000 0.5000 0.0000  -0.21
2 Se 0.5000 0.5000 0.5000  0.18
3 Zn 0.5000 0.0000 0.0000  0.01
4 Zn 0.0000 0.0000 0.5000  0.02
5 Mn 0.0000 0.0000 0.0000  2.91

***

No. 5
The following is a PBE calculation of AcCdPd2 after structural relaxation, from the Alexandria database.

Results
Space group   P4/mmm
Spin magnetization   0.0 Bohr magnetons per cell
Formation enthalpy at 0 K   -47.95 kJ per mole of atoms

Lattice parameters (Å, degrees): 3.6898 4.9571 4.9571 90.00 90.00 90.00
Element x y z (fractional)
1 Pd 0.0000 0.0000 0.5000
2 Pd 0.0000 0.5000 0.0000
3 Cd 0.5000 0.0000 0.0000
4 Ac 0.5000 0.5000 0.5000

***

No. 6
The following is a PBE calculation of Nd8Mg2Hg after structural relaxation, from the Alexandria database.

Results
Space group   C2/m
Spin magnetization   0.0 Bohr magnetons per cell
Formation enthalpy at 0 K   -3.99 kJ per mole of atoms

Lattice parameters (Å, degrees): 5.4681 7.2759 9.6976 104.97 106.38 90.00
Element x y z (fractional)
1 Nd 0.1933 0.2774 0.3866
2 Nd 0.0211 0.7608 0.0422
3 Nd 0.6618 0.9499 0.3235
4 Nd 0.8067 0.7226 0.6134
5 Nd 0.3382 0.0501 0.6765
6 Nd 0.9789 0.2392 0.9578
7 Nd 0.4065 0.5457 0.8131
8 Nd 0.5935 0.4543 0.1869
9 Mg 0.8107 0.2876 0.6214
10 Mg 0.1893 0.7124 0.3786
11 Hg 0.5000 0.0000 0.0000

***

No. 7
The following is a PBE calculation of TbCeCu after structural relaxation, from the Alexandria database.

Results
Space group   I4mm
Spin magnetization   1.2 Bohr magnetons per cell
Formation enthalpy at 0 K   -2.75 kJ per mole of atoms

Lattice parameters (Å, degrees): 3.4830 3.4830 6.6423 105.20 105.20 90.00
Last column: magnetic moment on the atom in μB.
Element x y z (fractional)
1 Ce 0.3113 0.3113 0.6226  0.78
2 Tb 0.0268 0.0268 0.0536  0.14
3 Cu 0.6619 0.6619 0.3237  0.01

***

No. 8
The following is a PBE calculation of LaMnPb after structural relaxation, from the Alexandria database.

Results
Space group   P-6m2
Spin magnetization   3.9 Bohr magnetons per cell
Formation enthalpy at 0 K   -10.98 kJ per mole of atoms

Lattice parameters (Å, degrees): 4.7790 4.7790 4.1745 90.00 90.00 120.00
Last column: magnetic moment on the atom in μB.
Element x y z (fractional)
1 La 0.0000 0.0000 0.0000  0.06
2 Mn 0.6667 0.3333 0.5004  -3.80
3 Pb 0.3333 0.6667 0.4996  0.02